1.
La8PmPr5 | the Alexandria database | PBE | optimized geometry; DFT formation energy = 0.200 eV per atom; volume = 518.7 Å³/cell; ρ = 6.277 g cm⁻³; total magnetic moment = 0.00 μB/f.u.; space group = I-4
1.0
-4.961 4.961 5.268
4.961 -4.961 5.268
4.961 4.961 -5.268
La Pm Pr
8 1 5
Cartesian
4.212 1.866 -0.071
0.705 1.713 1.588
3.095 -0.749 5.339
1.866 5.711 0.071
-3.249 4.257 3.680
0.749 3.095 5.197
3.249 5.666 3.680
-0.705 8.210 1.588
0.000 0.000 5.268
2.910 -1.030 1.865
5.992 -2.051 3.403
7.012 1.030 1.865
3.931 2.051 3.403
0.000 4.961 2.634

2.
La8Pm3Pr3 | the Alexandria database | PBE | optimized geometry; DFT formation energy = 0.089 eV per atom; volume = 506.7 Å³/cell; ρ = 6.453 g cm⁻³; total magnetic moment = 0.00 μB/f.u.; space group = Immm
1.0
-2.913 5.548 7.837
2.913 -5.548 7.837
2.913 5.548 -7.837
La Pm Pr
8 3 3
Cartesian
2.913 1.800 -1.657
2.913 3.804 -4.267
2.913 1.800 1.657
0.000 1.744 3.570
2.913 3.804 4.267
0.000 3.748 6.180
0.000 1.744 12.104
0.000 3.748 9.494
2.913 0.000 5.035
0.000 0.000 7.837
0.000 5.548 2.802
0.000 0.000 0.000
0.000 3.377 0.000
0.000 7.720 0.000

Which formula does entry 2 have? La8Pm3Pr3

The highest ρ belongs to which entry? La8Pm3Pr3